Crystalline Y2SbS4 at its relaxed geometry, computed with PBE-GGA.

Properties
Raw formation energy, eV per atom: -1.38
Total moment, μB per cell: 0.00
E, eV/f.u.: -43.203
Calculated volume, Å³/atom: 26.82

a = 3.8704 Å, b = 6.9734 Å, c = 7.8147 Å
α = 112.48°, β = 104.34°, γ = 90.00°
Closest atoms and distances in Å follow each position.
Fractional coordinates of all 7 atoms:
Y 0.7350 0.7389 0.4700  6 S 2.71-2.81
Y 0.2650 0.2611 0.5300  6 S 2.71-2.81
Sb 0.0000 0.0000 0.0000  2 S 2.70
S 0.8643 0.1595 0.7286  1 Sb 2.70, 3 Y 2.71-2.81
S 0.1357 0.8405 0.2714  1 Sb 2.70, 3 Y 2.71-2.81
S 0.6465 0.3138 0.2930  3 Y 2.73-2.76
S 0.3535 0.6862 0.7070  3 Y 2.73-2.76

Crystalline Y2SbS6 at its relaxed geometry, computed with PBE-GGA.

Properties
Raw formation energy, eV per atom: -1.02
Total moment, μB per cell: 0.01
E, eV/f.u.: -51.009
Calculated volume, Å³/atom: 22.70

a = 6.5178 Å, b = 7.0611 Å, c = 8.9000 Å
α = 90.00°, β = 94.19°, γ = 90.00°
Closest atoms and distances in Å follow each position.
Fractional coordinates of all 18 atoms:
Y 0.9610 0.3898 0.7613  7 S 2.75-3.00
Y 0.5390 0.8898 0.7387  7 S 2.75-3.00
Y 0.4610 0.1102 0.2613  7 S 2.75-3.00
Y 0.0390 0.6102 0.2387  7 S 2.75-3.00
Sb 0.5000 0.5000 0.0000  6 S 2.49-2.56
Sb 0.0000 0.0000 0.5000  6 S 2.49-2.56
S 0.8466 0.9575 0.2383  1 Sb 2.49, 2 Y 2.75-2.76
S 0.8230 0.6883 0.5614  1 Sb 2.56, 1 Y 2.86
S 0.8166 0.6804 0.9369  1 Sb 2.52, 1 Y 2.78
S 0.6834 0.1804 0.5631  1 Sb 2.52, 1 Y 2.78
S 0.6770 0.1883 0.9386  1 Sb 2.56, 1 Y 2.86
S 0.6534 0.4575 0.2617  1 Sb 2.49, 2 Y 2.75-2.76
S 0.1534 0.0425 0.7617  1 Sb 2.49, 2 Y 2.75-2.76
S 0.1770 0.3117 0.4386  1 Sb 2.56, 1 Y 2.86
S 0.1834 0.3196 0.0631  1 Sb 2.52, 1 Y 2.78
S 0.3166 0.8196 0.4369  1 Sb 2.52, 1 Y 2.78
S 0.3230 0.8117 0.0614  1 Sb 2.56, 1 Y 2.86
S 0.3466 0.5425 0.7383  1 Sb 2.49, 2 Y 2.75-2.76

Crystalline YSbS3 at its relaxed geometry, computed with PBE-GGA.

Properties
Raw formation energy, eV per atom: -1.00
Total moment, μB per cell: 0.00
Excess energy over the best structure of this formula in the dataset, meV/atom: 138
E, eV/f.u.: -27.962
Calculated volume, Å³/atom: 27.89

a = 6.9588 Å, b = 6.8032 Å, c = 6.8032 Å
α = 120.00°, β = 90.00°, γ = 90.00°
Closest atoms and distances in Å follow each position.
Fractional coordinates of all 10 atoms:
Y 0.0000 0.0000 0.0000  6 S 2.76
Y 0.5000 0.0000 0.0000  6 S 2.76
Sb 0.5000 0.6667 0.3333  6 S 2.78
Sb 0.0000 0.6667 0.3333  6 S 2.78
S 0.7500 0.3313 0.2972  2 Y 2.76, 2 Sb 2.78
S 0.7500 0.9659 0.6687  2 Y 2.76, 2 Sb 2.78
S 0.7500 0.7028 0.0341  2 Y 2.76, 2 Sb 2.78
S 0.2500 0.7028 0.6687  2 Y 2.76, 2 Sb 2.78
S 0.2500 0.3313 0.0341  2 Y 2.76, 2 Sb 2.78
S 0.2500 0.9659 0.2972  2 Y 2.76, 2 Sb 2.78